(1)
First-principles (GGA-PBE) data for crystalline HoEr3TmTh at its relaxed geometry, as listed in the Alexandria database.

Output
- Crystal system: monoclinic
- N(E_F): 17.20 states/eV per cell
- Formation enthalpy at 0 K: 0.025 eV/atom
- Symmetry: No. 11

extended XYZ file:
```
12
Lattice="-0.0457 -0.9996 3.3874 -6.0624 -8.2559 -2.5181 10.1419 -2.7891 -0.6862" Properties=species:S:1:pos:R:3 pbc="T T T"
Ho 2.2159 -2.0748 0.3384
Ho 1.8179 -9.9699 -0.1553
Er -4.9083 -8.0736 0.3135
Er 8.9421 -3.9710 -0.1305
Er 0.8331 -6.6956 -1.0439
Er 3.2006 -5.3491 1.2269
Er -0.1994 -4.4355 1.4507
Er 4.2332 -7.6092 -1.2676
Tm -2.5408 -5.7600 -0.8133
Tm 6.5746 -6.2847 0.9963
Th 5.5555 -3.0339 0.1004
Th -1.5217 -9.0107 0.0826
```

(2)
First-principles (GGA-PBE) data for crystalline ErZn4Au at its relaxed geometry, as listed in the Alexandria database.

Output
- Offset from the most stable computed form: 0 meV per atom
- Crystal system: orthorhombic
- N(E_F): 6.91 states/eV per cell
- Formation enthalpy at 0 K: -0.316 eV/atom
- Symmetry: No. 63

extended XYZ file:
```
12
Lattice="4.0280 0.0000 0.0000 0.0000 6.7323 0.0000 -2.0140 0.0000 8.0357" Properties=species:S:1:pos:R:3 pbc="T T T"
Er 0.0000 1.6831 1.8866
Er 2.0140 5.0492 6.1492
Zn 2.0140 3.3661 0.0000
Zn 2.0140 0.0000 0.0000
Zn 2.0140 6.3439 2.6114
Zn 0.0000 0.3884 5.4244
Zn 0.0000 2.9778 5.4244
Zn 2.0140 3.7545 2.6114
Zn 0.0000 5.0492 1.1190
Zn 2.0140 1.6831 6.9167
Au 0.0000 5.0492 3.8352
Au 2.0140 1.6831 4.2005
```

(3)
First-principles (GGA-PBE) data for crystalline KCaTa2 at its relaxed geometry, as listed in the Alexandria database.

Output
- Offset from the most stable computed form: 774 meV per atom
- Crystal system: cubic
- N(E_F): 7.50 states/eV per cell
- Formation enthalpy at 0 K: 1.384 eV/atom
- Symmetry: No. 216

extended XYZ file:
```
4
Lattice="-4.1674 0.5465 2.9626 -0.7742 -3.1860 3.9615 0.4803 1.7265 4.8199" Properties=species:S:1:pos:R:3 pbc="T T T"
Ca -2.2307 -0.4565 5.8720
K -3.3460 -0.6847 8.8080
Ta 0.0000 0.0000 0.0000
Ta -1.1153 -0.2282 2.9360
```

(4)
First-principles (GGA-PBE) data for crystalline SrScCl2 at its relaxed geometry, as listed in the Alexandria database.

Output
- Offset from the most stable computed form: 13 meV per atom
- Crystal system: monoclinic
- N(E_F): 2.17 states/eV per cell
- Uncorrected formation energy: -1.36 eV/atom
- Symmetry: No. 8

extended XYZ file:
```
4
Lattice="-5.3173 5.8683 -5.4131 -7.8643 4.2556 -3.4721 0.2883 2.5578 2.5037" Properties=species:S:1:pos:R:3 pbc="T T T"
Sc -6.9591 7.0787 -3.2502
Sr -2.5762 2.3288 -1.4455
Cl -12.8934 10.2449 -8.4065
Cl -10.0928 9.4941 -5.3553
```

(5)
First-principles (GGA-PBE) data for crystalline Ho4CuIr at its relaxed geometry, as listed in the Alexandria database.

Output
- Crystal system: monoclinic
- N(E_F): 11.90 states/eV per cell
- Formation enthalpy at 0 K: -0.347 eV/atom
- Symmetry: No. 14

extended XYZ file:
```
12
Lattice="6.8216 0.0000 0.1779 0.0000 6.8253 0.0000 0.0770 0.0000 6.8875" Properties=species:S:1:pos:R:3 pbc="T T T"
Ho 5.6671 4.5070 1.2357
Ho 4.6422 1.0943 5.9188
Ho 2.3750 2.3202 2.3524
Ho 1.1128 5.7329 4.6241
Ho 1.2315 2.3183 5.8298
Ho 2.2564 5.7310 1.1467
Ho 4.5236 4.5051 4.7131
Ho 5.7858 1.0925 2.4414
Cu 3.4493 0.0000 3.5327
Cu 0.0385 3.4127 3.4438
Ir 0.0000 0.0000 0.0000
Ir 3.4108 3.4127 0.0890
```

(6)
First-principles (GGA-PBE) data for crystalline Sr2MgHgP at its relaxed geometry, as listed in the Alexandria database.

Output
- Crystal system: tetragonal
- N(E_F): 2.34 states/eV per cell
- Formation enthalpy at 0 K: -0.505 eV/atom
- Symmetry: No. 123

extended XYZ file:
```
5
Lattice="-2.9086 1.0207 5.0177 -0.6419 -5.7978 0.8073 4.2044 -0.1226 2.4621" Properties=species:S:1:pos:R:3 pbc="T T T"
Sr -0.3209 -2.8989 0.4037
Sr -1.4543 0.5104 2.5088
Mg 2.1022 -0.0613 1.2310
Hg 0.3270 -2.4499 4.1436
P 0.0000 0.0000 0.0000
```

(7)
First-principles (GGA-PBE) data for crystalline HoThInAu at its relaxed geometry, as listed in the Alexandria database.

Output
- Crystal system: cubic
- N(E_F): 3.87 states/eV per cell
- Formation enthalpy at 0 K: -0.446 eV/atom
- Symmetry: No. 216

extended XYZ file:
```
4
Lattice="-4.9333 -1.7072 0.9654 -2.0900 -3.8851 -2.9532 -0.7796 -4.8098 2.1076" Properties=species:S:1:pos:R:3 pbc="T T T"
Au 0.0000 0.0000 0.0000
Ho -1.9507 -2.6005 0.0299
Th -5.8521 -7.8016 0.0898
In -3.9014 -5.2011 0.0599
```

(8)
First-principles (GGA-PBE) data for crystalline K12Pb3Cl5 at its relaxed geometry, as listed in the Alexandria database.

Output
- Crystal system: cubic
- N(E_F): 56.60 states/eV per cell
- Uncorrected formation energy: -0.90 eV/atom
- Symmetry: No. 230

extended XYZ file:
```
80
Lattice="-1.9218 16.8315 -1.8302 -4.1825 -7.8102 -14.5550 -10.1256 -5.5432 12.5334" Properties=species:S:1:pos:R:3 pbc="T T T"
Pb -4.2755 9.0019 -5.2641
Pb -6.0841 8.1770 -10.9510
Pb -10.1860 -3.0104 -3.7692
Pb -4.8003 1.1529 2.4231
Pb -4.7358 12.3654 -0.2875
Pb -5.8661 0.0446 -6.6499
Pb -10.3637 3.4334 2.7980
Pb -11.4941 -8.8874 -3.5644
Pb -11.4295 2.3252 -6.2749
Pb -6.0438 6.4884 -0.0826
Pb -10.1457 -4.6990 7.0992
Pb -11.9544 -5.5238 1.4123
Cl -4.3400 -2.2107 -2.5536
Cl -2.0912 -3.9051 -7.2775
Cl 0.0000 0.0000 0.0000
Cl -3.0320 3.6663 -2.7584
Cl -6.0237 5.6441 5.3516
Cl -3.0521 4.5106 -8.1926
Cl -7.1742 -5.8324 -6.4450
Cl -10.8240 6.7970 7.7747
Cl -7.8525 5.6635 -5.7695
Cl -8.8377 1.1781 6.8943
Cl -7.3922 2.3000 -10.7462
Cl -8.1149 1.7390 -1.9259
Cl -0.9609 8.4157 -0.9151
Cl -5.0628 -2.7716 6.2667
Cl -8.3774 -2.1855 1.9177
Cl -5.4058 -3.3189 -11.6265
Cl -7.1540 -6.6767 -1.0108
Cl -9.0557 9.3105 2.5932
Cl -13.1978 -0.1883 -1.0934
Cl -11.8898 5.6887 -1.2983
K -2.2740 10.7804 -2.6907
K -7.0200 -0.9904 -3.2751
K -6.3293 11.6995 -3.5751
K -3.2053 6.6795 -2.4696
K -10.9319 0.5392 -2.9718
K -6.0886 10.6309 -8.1636
K -8.1295 -2.9853 -6.8614
K -5.2905 -6.3366 -11.8962
K -11.9942 -1.3271 -6.6407
K -5.5815 6.4453 -7.6199
K -7.2264 7.5855 -3.5098
K -5.7653 6.5803 -14.2887
K -8.6582 -6.3940 -3.8615
K -3.2857 2.6061 -5.5875
K -7.7422 -7.7498 -8.7238
K -7.3070 2.7284 4.7858
K -3.0366 -1.1160 -0.0446
K -4.6256 2.0236 -9.5371
K -8.3344 5.1421 -11.2222
K -2.8960 -1.6044 -5.1496
K -12.7264 -5.6165 -4.8191
K -7.9648 2.7327 -5.0014
K -10.6371 5.8906 -6.9470
K -12.1455 5.6531 5.2973
K -8.2650 0.7453 1.1496
K -5.5927 -2.4125 3.0951
K -4.0843 -2.1750 -9.1492
K -7.8954 -1.6641 7.3704
K -3.5034 9.0946 0.9673
K -13.3338 5.0825 1.2978
K -11.6043 1.4544 5.6853
K -8.9228 0.7497 -8.6376
K -13.1932 4.5941 -3.8073
K -8.4876 11.2279 4.8720
K -7.5717 9.8720 0.0096
K -10.4645 -3.1022 10.4369
K -12.9441 0.8720 1.7356
K -4.2357 4.8051 2.7888
K -10.6483 -2.9672 3.7680
K -9.0034 -4.1075 -0.3420
K -10.9393 9.8146 8.0443
K -8.1004 6.4633 3.0096
K -13.0245 -3.2014 -1.3822
K -10.1412 -7.1528 4.3117
K -5.2980 2.9388 -0.8800
K -9.9006 -8.2215 -0.2767
K -9.2098 4.4684 -0.5767
K -13.9558 -7.3024 -1.1612
```

(9)
First-principles (GGA-PBE) data for crystalline Hf2In2Se at its relaxed geometry, as listed in the Alexandria database.

Output
- Offset from the most stable computed form: 794 meV per atom
- Crystal system: tetragonal
- N(E_F): 4.70 states/eV per cell
- Uncorrected formation energy: 0.40 eV/atom
- Symmetry: No. 139

extended XYZ file:
```
5
Lattice="-2.6208 -1.3404 -2.5985 1.7038 -3.5360 0.1055 -5.4058 -4.6392 4.8785" Properties=species:S:1:pos:R:3 pbc="T T T"
Hf -4.2425 -4.2089 0.5167
Hf -2.0802 -5.3067 1.8688
Se 0.0000 0.0000 0.0000
In -1.3760 -2.8464 -0.1106
In -4.9467 -6.6692 2.4960
```

(10)
First-principles (GGA-PBE) data for crystalline ZrCd2CuCl at its relaxed geometry, as listed in the Alexandria database.

Output
- Crystal system: tetragonal
- N(E_F): 4.89 states/eV per cell
- Uncorrected formation energy: 0.52 eV/atom
- Symmetry: No. 123

extended XYZ file:
```
5
Lattice="5.8205 0.0000 0.0000 0.0000 4.8605 0.0000 0.0000 0.0000 5.8205" Properties=species:S:1:pos:R:3 pbc="T T T"
Cl 0.0000 2.4303 0.0000
Cu 2.9102 2.4303 2.9102
Zr 0.0000 0.0000 0.0000
Cd 0.0000 0.0000 2.9102
Cd 2.9102 0.0000 0.0000
```

(11)
First-principles (GGA-PBE) data for crystalline CePr2ErBi5 at its relaxed geometry, as listed in the Alexandria database.

Output
- Crystal system: tetragonal
- N(E_F): 8.56 states/eV per cell
- Formation enthalpy at 0 K: -0.084 eV/atom
- Symmetry: No. 123

extended XYZ file:
```
9
Lattice="-1.4396 1.9566 5.0329 -2.3349 -4.9222 1.2457 10.3309 -3.7807 4.4249" Properties=species:S:1:pos:R:3 pbc="T T T"
Ce 5.1655 -1.8904 2.2125
Pr 1.0001 -2.5394 4.3760
Pr 5.5563 -4.2068 6.3275
Er 0.0000 0.0000 0.0000
Bi 3.9980 -4.3515 2.8353
Bi 4.4456 -0.9120 4.7289
Bi 7.8043 -2.8561 3.3427
Bi 2.5266 -0.9246 1.0822
Bi -1.8873 -1.4828 3.1393
```

(12)
First-principles (GGA-PBE) data for crystalline Pm2Dy5Y3 at its relaxed geometry, as listed in the Alexandria database.

Output
- Crystal system: monoclinic
- N(E_F): 38.83 states/eV per cell
- Formation enthalpy at 0 K: 0.198 eV/atom
- Symmetry: No. 15

extended XYZ file:
```
20
Lattice="8.4175 1.6523 -3.9542 0.3151 8.6008 -4.0480 -1.7703 -2.0072 10.8309" Properties=species:S:1:pos:R:3 pbc="T T T"
Pm 5.2312 -0.0858 4.9122
Pm 1.7312 8.3317 -2.0834
Pm 2.8325 5.5440 3.2527
Pm 4.1298 2.7019 -0.4239
Dy 2.4077 4.8886 -2.6291
Dy 4.5547 3.3573 5.4579
Dy -0.5398 5.5779 2.6661
Dy 3.5272 2.1228 2.7549
Dy 7.5022 2.6680 0.1627
Dy 3.4351 6.1231 0.0740
Dy 6.1204 5.1451 2.2938
Dy 0.8419 3.1008 0.5350
Dy 2.0043 0.3865 6.0317
Dy 4.9580 7.8594 -3.2029
Y 0.5468 6.8836 5.5250
Y 6.4155 1.3623 -2.6962
Y 5.8786 4.7233 -2.1280
Y 1.0837 3.5226 4.9568
Y -0.0829 6.2318 -0.5510
Y 7.0453 2.0141 3.3798
```

(13)
First-principles (GGA-PBE) data for crystalline MgV2P2 at its relaxed geometry, as listed in the Alexandria database.

Output
- Offset from the most stable computed form: 407 meV per atom
- Crystal system: tetragonal
- N(E_F): 1.73 states/eV per cell
- Formation enthalpy at 0 K: -0.149 eV/atom
- Symmetry: No. 139

extended XYZ file:
```
5
Lattice="4.5382 0.0000 0.0000 0.0000 4.5382 0.0000 2.2691 2.2691 3.8372" Properties=species:S:1:pos:R:3 pbc="T T T"
P 4.5382 2.2691 1.9186
P 2.2691 4.5382 1.9186
Mg 0.0000 0.0000 0.0000
V 2.2691 2.2691 1.0628
V 4.5382 4.5382 2.7744
```

(14)
First-principles (GGA-PBE) data for crystalline K5Rb4O at its relaxed geometry, as listed in the Alexandria database.

Output
- Crystal system: tetragonal
- N(E_F): 5.65 states/eV per cell
- Uncorrected formation energy: -0.28 eV/atom
- Symmetry: No. 139

extended XYZ file:
```
10
Lattice="-4.8542 -2.9086 -0.1932 2.6697 -9.5819 -5.7952 0.2230 -6.5136 9.4894" Properties=species:S:1:pos:R:3 pbc="T T T"
K 1.4648 -7.6494 -4.4421
K -0.4011 -5.3095 7.2138
K -4.2200 -4.1067 2.0828
K -3.6391 -4.8351 -1.5458
K -2.4221 -1.4513 -0.0964
Rb -2.0811 -13.2034 2.3175
Rb -1.3933 -8.9755 4.3586
Rb -0.5583 -10.0227 -0.8572
Rb 0.1295 -5.7948 1.1840
O -4.8490 -2.9055 -0.1930
```

(15)
First-principles (GGA-PBE) data for crystalline Tb4Nd2Mg at its relaxed geometry, as listed in the Alexandria database.

Output
- Offset from the most stable computed form: 0 meV per atom
- Crystal system: monoclinic
- N(E_F): 17.91 states/eV per cell
- Formation enthalpy at 0 K: 0.091 eV/atom
- Symmetry: No. 11

extended XYZ file:
```
14
Lattice="-3.7674 -0.8844 -4.6940 2.1844 -6.1841 -0.5880 -6.0798 -3.0386 9.3717" Properties=species:S:1:pos:R:3 pbc="T T T"
Tb -3.0784 -4.5320 -0.6420
Tb -3.7847 -7.3222 7.6433
Tb -3.8782 -2.7849 -3.5536
Tb -4.1705 -1.4401 -0.3481
Tb -6.0755 -4.0008 1.0716
Tb -3.4924 -8.6670 4.4377
Tb -4.5845 -5.5751 4.7317
Tb -1.5874 -6.1064 3.0180
Nd -0.6659 -5.1852 -3.2467
Nd -6.9970 -4.9219 7.3363
Nd -3.1037 -3.0874 2.5052
Nd -4.5592 -7.0197 1.5845
Mg 0.0317 -5.2852 0.3967
Mg -7.6946 -4.8219 3.6930
```

(16)
First-principles (GGA-PBE) data for crystalline HoCo6B3 at its relaxed geometry, as listed in the Alexandria database.

Output
- Crystal system: triclinic
- N(E_F): 10.05 states/eV per cell
- Formation enthalpy at 0 K: -0.275 eV/atom
- Symmetry: No. 1

extended XYZ file:
```
10
Lattice="-2.5366 3.2438 -2.8857 -1.8652 -1.5325 4.4082 4.4490 2.3775 2.2053" Properties=species:S:1:pos:R:3 pbc="T T T"
Ho -0.1251 3.6893 3.6664
Co 1.3409 1.6516 2.1223
Co -0.4363 0.0160 2.7988
Co -0.7662 2.4132 -0.8730
Co 0.7145 1.2709 4.5860
Co 0.2850 3.7087 0.9649
Co -1.4691 1.9793 1.4976
B 2.0783 3.6894 1.9611
B 2.2632 2.4385 3.8961
B 0.7997 1.9646 0.2243
```

(17)
First-principles (GGA-PBE) data for crystalline TbPm3Ga2 at its relaxed geometry, as listed in the Alexandria database.

Output
- Offset from the most stable computed form: 0 meV per atom
- Crystal system: orthorhombic
- N(E_F): 12.38 states/eV per cell
- Formation enthalpy at 0 K: -0.404 eV/atom
- Symmetry: No. 26

extended XYZ file:
```
12
Lattice="-4.1260 -2.5085 -1.6924 -1.3796 -1.9185 6.2070 -5.3388 7.9286 1.2640" Properties=species:S:1:pos:R:3 pbc="T T T"
Tb -5.7336 2.1367 3.0764
Tb -4.4743 2.2501 -0.1619
Pm -5.7345 6.6156 4.1747
Pm -1.6159 -1.4845 6.1397
Pm -3.9371 -1.1803 3.6131
Pm -6.7221 4.9394 1.3323
Pm -2.2090 2.0252 2.3837
Pm -4.6927 3.7300 5.9119
Ga -7.5848 4.1339 4.6294
Ga -3.1460 -0.4744 0.6383
Ga -3.8623 4.5714 2.6403
Ga -2.9761 1.2717 5.3706
```

(18)
First-principles (GGA-PBE) data for crystalline Li3CdHg at its relaxed geometry, as listed in the Alexandria database.

Output
- Offset from the most stable computed form: 0 meV per atom
- Crystal system: triclinic
- N(E_F): 3.00 states/eV per cell
- Formation enthalpy at 0 K: -0.278 eV/atom
- Symmetry: No. 2

extended XYZ file:
```
10
Lattice="-2.3533 -2.7682 3.4151 -2.3316 -3.2993 -2.8887 4.8048 -5.9101 1.9949" Properties=species:S:1:pos:R:3 pbc="T T T"
Li 0.7890 -3.9731 0.3414
Li 0.8199 -8.5500 3.8789
Li -1.5282 -7.0294 0.6091
Li -1.6109 -4.4317 2.0010
Li -1.5761 -4.7186 -1.1461
Li 0.8461 -8.8203 0.7282
Cd -3.9189 -5.2203 0.5038
Cd 0.7788 -6.2406 2.1072
Hg -1.5360 -2.2089 0.2393
Hg 0.7493 -6.4830 -1.0433
```

(19)
First-principles (GGA-PBE) data for crystalline CsTeH2Se at its relaxed geometry, as listed in the Alexandria database.

Output
- Calculated total energy: -13.99 eV/cell
- Crystal system: tetragonal
- N(E_F): 1.32 states/eV per cell
- Symmetry: No. 123

extended XYZ file:
```
5
Lattice="4.6822 0.0000 0.0000 0.0000 5.6359 0.0000 0.0000 0.0000 4.6822" Properties=species:S:1:pos:R:3 pbc="T T T"
Cs 2.3411 2.8179 2.3411
H 0.0000 0.0000 2.3411
H 2.3411 0.0000 0.0000
Te 0.0000 0.0000 0.0000
Se 0.0000 2.8179 0.0000
```

(20)
First-principles (GGA-PBE) data for crystalline Y2PuInC at its relaxed geometry, as listed in the Alexandria database.

Output
- Crystal system: tetragonal
- N(E_F): 9.84 states/eV per cell
- Formation enthalpy at 0 K: -0.338 eV/atom
- Symmetry: No. 123

extended XYZ file:
```
5
Lattice="-0.4548 4.6574 -0.6899 -4.9004 -0.5871 -0.7327 -0.8071 0.6443 4.8815" Properties=species:S:1:pos:R:3 pbc="T T T"
Y -0.4035 0.3221 2.4408
Y -2.4502 -0.2936 -0.3663
Pu -0.2274 2.3287 -0.3449
In -3.0812 2.3573 1.7295
C 0.0000 0.0000 0.0000
```